## SrCuW (PBE)

Data for a geometry-optimized SrCuW structure.

```
3
Lattice="-4.6178 -0.2866 2.1052 -1.0739 -3.7388 3.2720 -0.6113 1.0414 4.9376" Properties=species:S:1:pos:R:3 pbc="T T T"
Cu -3.1515 -1.4920 5.1574
Sr -4.7272 -2.2380 7.7361
W 0.0000 0.0000 0.0000
```

Formation energy = 6.5 eV per formula unit
Offset from the most stable computed form = 1072 meV/atom

***

## SrCuW (PBE)

Data for a geometry-optimized SrCuW structure.

```
3
Lattice="3.0703 0.0000 0.0000 -1.5352 2.6590 0.0000 0.0000 0.0000 7.3513" Properties=species:S:1:pos:R:3 pbc="T T T"
Cu 0.0000 0.0000 7.1082
Sr 1.5352 0.8863 2.4405
W 0.0000 1.7726 5.1539
```

Formation energy = 3.3 eV per formula unit
Offset from the most stable computed form = 0 meV/atom

***

## SrCuW2 (PBE)

Data for a geometry-optimized SrCuW2 structure.

```
4
Lattice="4.0982 -2.1482 0.4916 0.5344 -4.3668 -1.5155 2.6388 -0.8600 -3.7348" Properties=species:S:1:pos:R:3 pbc="T T T"
Sr 3.6356 -3.6875 -2.3793
Cu 0.0000 0.0000 0.0000
W 1.8178 -1.8438 -1.1897
W 5.4535 -5.5313 -3.5690
```

Formation energy = 6.9 eV per formula unit
Offset from the most stable computed form = 785 meV/atom

***

## Sr2CuW (PBE)

Data for a geometry-optimized Sr2CuW structure.

```
4
Lattice="0.0000 3.8171 3.8171 3.8171 0.0000 3.8171 3.8171 3.8171 0.0000" Properties=species:S:1:pos:R:3 pbc="T T T"
Sr 1.9085 1.9085 1.9085
Sr 5.7256 5.7256 5.7256
Cu 0.0000 0.0000 0.0000
W 3.8171 3.8171 3.8171
```

Formation energy = 4.3 eV per formula unit
Offset from the most stable computed form = 0 meV/atom